Record 1
Compound: KTl2Te6
Source: Alexandria via LeMat-Bulk
Functional: PBE
Structure: optimized geometry

Calculated values
**Uncorrected formation energy**: -0.160 eV/atom

Cell and atoms, written as POSCAR:
```
KTl2Te6
1.0
-2.667 -2.748 0.689
1.401 -3.847 -9.919
6.721 -1.892 7.488
K Tl Te
1 2 6
Direct
0.000 0.500 0.000 K
0.152 0.152 0.304 Tl
0.848 0.848 0.696 Tl
0.339 0.465 0.679 Te
0.661 0.535 0.321 Te
0.661 0.786 0.321 Te
0.500 0.128 0.000 Te
0.500 0.872 0.000 Te
0.339 0.214 0.679 Te
```

Record 2
Compound: LuScC
Source: Alexandria via LeMat-Bulk
Functional: PBE
Structure: optimized geometry

Calculated values
**Energy relative to the elements**: -0.37 eV/atom

Cell and atoms, written as POSCAR:
```
LuScC
1.0
3.412 0.000 0.000
-1.706 2.955 0.000
0.000 0.000 5.833
Sc C Lu
1 1 1
Direct
0.333 0.667 0.546 Sc
0.667 0.333 0.343 C
0.000 0.000 0.110 Lu
```

Record 3
Compound: Zn4Ga4Ag
Source: Alexandria via LeMat-Bulk
Functional: PBE
Structure: optimized geometry

Calculated values
**Energy relative to the elements**: 0.04 eV/atom

Cell and atoms, written as POSCAR:
```
Zn4Ga4Ag
1.0
0.851 2.077 3.480
-1.503 -3.700 5.039
6.062 -1.261 1.734
Zn Ga Ag
4 4 1
Direct
0.334 0.331 0.000 Zn
0.666 0.669 0.000 Zn
0.666 0.000 0.669 Zn
0.334 0.000 0.331 Zn
0.000 0.670 0.330 Ga
0.000 0.330 0.670 Ga
0.670 0.330 0.330 Ga
0.330 0.670 0.670 Ga
0.000 0.000 0.000 Ag
```

Number 1: density 5.7 Mg/m³, V 355 Å³/cell, DOS at the Fermi energy 5.03 states/eV/f.u.. Number 2: density 6.5 Mg/m³, V 59 Å³/cell, DOS at the Fermi energy 2.33 states/eV/f.u.. Number 3: density 7.0 Mg/m³, V 153 Å³/cell, DOS at the Fermi energy 3.79 states/eV/f.u..